Record 1
Material: CuSnTe2
Method: DFT, GGA-PBE
State: relaxed

Unit cell a=4.3434 b=7.2640 c=7.4892 alpha=86.21 beta=90.00 gamma=90.00
With the nearest neighbours (Å) after each atom.
Element x y z (fractional)
Cu 0.5000 0.3999 0.1497  4 Te 2.57-2.71, 1 Cu 2.59
Cu 0.5000 0.6001 0.8503  4 Te 2.57-2.71, 1 Cu 2.59
Te 0.0000 0.7437 0.6960  2 Cu 2.64
Te 0.0000 0.2563 0.3040  2 Cu 2.64
Te 0.5000 0.2478 0.8293  2 Cu 2.57-2.71
Te 0.5000 0.7522 0.1707  2 Cu 2.57-2.71
Sn 0.5000 0.0000 0.5000  6 Te 3.15-3.16
Sn 0.0000 0.0000 0.0000  6 Te 3.03-3.05

As for the energy relative to the elements, uncorrected: -11.3 kJ/mol of atoms. Its calculated volume is 236 Å³/cell.

Record 2
Material: CuSn2Te3
Method: DFT, GGA-PBE
State: relaxed

Unit cell a=4.2649 b=8.8424 c=19.5994 alpha=90.00 beta=90.00 gamma=90.00
With the nearest neighbours (Å) after each atom.
Element x y z (fractional)
Sn 0.7500 0.5921 0.7349  5 Te 2.95-3.18
Sn 0.2500 0.2859 0.9852  3 Te 2.98-3.15
Sn 0.7500 0.7141 0.0148  3 Te 2.98-3.15
Sn 0.2500 0.7859 0.5148  3 Te 2.98-3.15
Sn 0.7500 0.0921 0.7651  5 Te 2.95-3.18
Sn 0.2500 0.9079 0.2349  5 Te 2.95-3.18
Sn 0.7500 0.2141 0.4852  3 Te 2.98-3.15
Sn 0.2500 0.4079 0.2651  5 Te 2.95-3.18
Te 0.2500 0.1109 0.5807  1 Cu 2.71, 2 Sn 2.98
Te 0.7500 0.0201 0.9119  2 Cu 2.65, 1 Sn 2.95
Te 0.7500 0.8891 0.4193  1 Cu 2.71, 2 Sn 2.98
Te 0.7500 0.3891 0.0807  1 Cu 2.71, 2 Sn 2.98
Te 0.2500 0.3394 0.7731  1 Cu 2.62
Te 0.2500 0.4799 0.4119  2 Cu 2.65, 1 Sn 2.95
Te 0.7500 0.5201 0.5881  2 Cu 2.65, 1 Sn 2.95
Te 0.2500 0.9799 0.0881  2 Cu 2.65, 1 Sn 2.95
Te 0.2500 0.6109 0.9193  1 Cu 2.71, 2 Sn 2.98
Te 0.2500 0.8394 0.7269  1 Cu 2.62
Te 0.7500 0.1606 0.2731  1 Cu 2.62
Te 0.7500 0.6606 0.2269  1 Cu 2.62
Cu 0.2500 0.3869 0.6414  4 Te 2.62-2.71
Cu 0.7500 0.1131 0.1414  4 Te 2.62-2.71
Cu 0.7500 0.6131 0.3586  4 Te 2.62-2.71
Cu 0.2500 0.8869 0.8586  4 Te 2.62-2.71

As for the energy relative to the elements, uncorrected: -13.2 kJ/mol of atoms. Its calculated volume is 739 Å³/cell.

Record 3
Material: CuSn3Te4
Method: DFT, GGA-PBE
State: relaxed

Unit cell a=6.4839 b=6.3315 c=12.0256 alpha=90.00 beta=90.00 gamma=90.00
With the nearest neighbours (Å) after each atom.
Element x y z (fractional)
Sn 0.5408 0.2663 0.7503  5 Te 2.99-3.30
Sn 0.0408 0.7337 0.2503  5 Te 2.99-3.30
Sn 0.5408 0.2663 0.2497  5 Te 2.99-3.30
Sn 0.0408 0.7337 0.7497  5 Te 2.99-3.30
Sn 0.0694 0.2395 0.5000  6 Te 3.06-3.42
Sn 0.5694 0.7605 0.0000  6 Te 3.06-3.42
Te 0.0822 0.2507 0.7734  1 Cu 2.84, 2 Sn 2.99-3.08
Te 0.5822 0.7493 0.2734  1 Cu 2.84, 2 Sn 2.99-3.08
Te 0.0969 0.7696 0.0000  1 Cu 2.58
Te 0.1078 0.7441 0.5000  1 Cu 2.58
Te 0.0822 0.2507 0.2266  1 Cu 2.84, 2 Sn 2.99-3.08
Te 0.5969 0.2304 0.5000  1 Cu 2.58
Te 0.6078 0.2559 0.0000  1 Cu 2.58
Te 0.5822 0.7493 0.7266  1 Cu 2.84, 2 Sn 2.99-3.08
Cu 0.9952 0.1638 0.0000  4 Te 2.58-2.84
Cu 0.4952 0.8362 0.5000  4 Te 2.58-2.84

As for the energy relative to the elements, uncorrected: -15.6 kJ/mol of atoms. Its calculated volume is 494 Å³/cell.

Repeat the second record exactly.
Material: CuSn2Te3
Method: DFT, GGA-PBE
State: relaxed

Unit cell a=4.2649 b=8.8424 c=19.5994 alpha=90.00 beta=90.00 gamma=90.00
With the nearest neighbours (Å) after each atom.
Element x y z (fractional)
Sn 0.7500 0.5921 0.7349  5 Te 2.95-3.18
Sn 0.2500 0.2859 0.9852  3 Te 2.98-3.15
Sn 0.7500 0.7141 0.0148  3 Te 2.98-3.15
Sn 0.2500 0.7859 0.5148  3 Te 2.98-3.15
Sn 0.7500 0.0921 0.7651  5 Te 2.95-3.18
Sn 0.2500 0.9079 0.2349  5 Te 2.95-3.18
Sn 0.7500 0.2141 0.4852  3 Te 2.98-3.15
Sn 0.2500 0.4079 0.2651  5 Te 2.95-3.18
Te 0.2500 0.1109 0.5807  1 Cu 2.71, 2 Sn 2.98
Te 0.7500 0.0201 0.9119  2 Cu 2.65, 1 Sn 2.95
Te 0.7500 0.8891 0.4193  1 Cu 2.71, 2 Sn 2.98
Te 0.7500 0.3891 0.0807  1 Cu 2.71, 2 Sn 2.98
Te 0.2500 0.3394 0.7731  1 Cu 2.62
Te 0.2500 0.4799 0.4119  2 Cu 2.65, 1 Sn 2.95
Te 0.7500 0.5201 0.5881  2 Cu 2.65, 1 Sn 2.95
Te 0.2500 0.9799 0.0881  2 Cu 2.65, 1 Sn 2.95
Te 0.2500 0.6109 0.9193  1 Cu 2.71, 2 Sn 2.98
Te 0.2500 0.8394 0.7269  1 Cu 2.62
Te 0.7500 0.1606 0.2731  1 Cu 2.62
Te 0.7500 0.6606 0.2269  1 Cu 2.62
Cu 0.2500 0.3869 0.6414  4 Te 2.62-2.71
Cu 0.7500 0.1131 0.1414  4 Te 2.62-2.71
Cu 0.7500 0.6131 0.3586  4 Te 2.62-2.71
Cu 0.2500 0.8869 0.8586  4 Te 2.62-2.71

As for the energy relative to the elements, uncorrected: -13.2 kJ/mol of atoms. Its calculated volume is 739 Å³/cell.

Copy entry 1 word for word.
Material: CuSnTe2
Method: DFT, GGA-PBE
State: relaxed

Unit cell a=4.3434 b=7.2640 c=7.4892 alpha=86.21 beta=90.00 gamma=90.00
With the nearest neighbours (Å) after each atom.
Element x y z (fractional)
Cu 0.5000 0.3999 0.1497  4 Te 2.57-2.71, 1 Cu 2.59
Cu 0.5000 0.6001 0.8503  4 Te 2.57-2.71, 1 Cu 2.59
Te 0.0000 0.7437 0.6960  2 Cu 2.64
Te 0.0000 0.2563 0.3040  2 Cu 2.64
Te 0.5000 0.2478 0.8293  2 Cu 2.57-2.71
Te 0.5000 0.7522 0.1707  2 Cu 2.57-2.71
Sn 0.5000 0.0000 0.5000  6 Te 3.15-3.16
Sn 0.0000 0.0000 0.0000  6 Te 3.03-3.05

As for the energy relative to the elements, uncorrected: -11.3 kJ/mol of atoms. Its calculated volume is 236 Å³/cell.

The highest energy relative to the elements, uncorrected belongs to which entry?
CuSnTe2